(1)
Entry from the Alexandria database: a relaxed Be2NbRe crystal (PBE).

Cell lengths 3.2884, 4.7435, 6.1247 Å; angles 90.00, 90.00, 90.00 degrees
With the nearest neighbours (Å) after each atom.
Space group Pmc2_1 (No. 26)
One atom of each set of equivalent atoms:
1 Be 0.0000 0.1257 0.0000 [2 per cell]  2 Be 2.05
2 Be 0.5000 0.3631 0.0752 [2 per cell]  2 Be 2.05
3 Nb 0.0000 0.3675 0.3714 [2 per cell]  7 Be 2.43-2.55
4 Re 0.5000 0.1279 0.7112 [2 per cell]  7 Be 2.41-2.55

The calculation puts the formation energy at -0.317 eV/atom.

---

(2)
Entry from the Alexandria database: a relaxed Y2H3Pb crystal (PBE).

Cell lengths 14.5662, 3.7003, 7.6733 Å; angles 90.00, 112.23, 90.00 degrees
With the nearest neighbours (Å) after each atom.
Space group C2/m (No. 12)
One atom of each set of equivalent atoms:
1 Y 0.0282 0.0000 0.2721 [4 per cell]  4 H 2.09-2.26
2 Y 0.1929 0.5000 0.6560 [4 per cell]  6 H 2.11-2.34
3 H 0.0646 0.5000 0.4064 [4 per cell]  3 Y 2.09-2.11
4 H 0.0907 0.0000 0.6101 [4 per cell]  3 H 2.13-2.36, 3 Y 2.24-2.32
5 H 0.1901 0.0000 0.4665 [4 per cell]  1 H 2.13, 4 Y 2.24-2.34
6 Pb 0.1414 0.5000 0.0350 [4 per cell]  7 Y 3.25-3.42, 6 H 3.43-3.62

---

(3)
Entry from the Alexandria database: a relaxed TbCoSn2 crystal (PBE).

Cell lengths 4.2643, 10.8321, 7.2559 Å; angles 90.00, 90.00, 90.00 degrees
With the nearest neighbours (Å) after each atom.
Space group Cmcm (No. 63)
One atom of each set of equivalent atoms:
1 Tb 0.0000 0.0661 0.2500 [4 per cell]  3 Co 2.93-3.28, 4 Sn 3.14
2 Co 0.0000 0.2041 0.7500 [4 per cell]  6 Sn 2.68-2.69, 1 Tb 2.93
3 Sn 0.0000 0.3553 0.0448 [8 per cell]  3 Co 2.68-2.69, 1 Sn 2.98

The calculation puts the formation energy at -0.455 eV/atom.

---

(4)
Entry from the Alexandria database: a relaxed YPa2Tc3 crystal (PBE).

Cell lengths 3.4593, 3.4593, 10.3323 Å; angles 90.00, 90.00, 90.00 degrees
With the nearest neighbours (Å) after each atom.
Space group P4/mmm (No. 123)
One atom of each set of equivalent atoms:
1 Y 0.0000 0.0000 0.0000 [1 per cell]  8 Tc 3.17, 2 Pa 3.42, 4 Y 3.46
2 Pa 0.0000 0.0000 0.3305 [2 per cell]  8 Tc 2.82-3.01
3 Tc 0.5000 0.5000 0.1955 [2 per cell]  4 Pa 2.82, 1 Tc 3.15
4 Tc 0.5000 0.5000 0.5000 [1 per cell]  8 Pa 3.01, 2 Tc 3.15

The calculation puts the formation energy at -0.211 eV/atom.

---

(5)
Entry from the Alexandria database: a relaxed DyIn2PbSe4 crystal (PBE).

Cell lengths 7.5647, 4.1794, 7.5798 Å; angles 90.00, 108.40, 90.00 degrees
With the nearest neighbours (Å) after each atom.
Space group P2/m (No. 10)
One atom of each set of equivalent atoms:
1 Dy 0.0000 0.0000 0.0000 [1 per cell]  6 Se 2.88-2.90
2 In 0.5000 0.0000 0.5000 [1 per cell]  6 Se 3.22-3.24
3 In 0.5000 0.5000 0.0000 [1 per cell]  6 Se 2.99-3.04
4 Pb 0.0000 0.5000 0.5000 [1 per cell]  6 Se 3.11-3.12
5 Se 0.2270 0.5000 0.2206 [2 per cell]  2 Dy 2.88, 3 In 3.04-3.22, 1 Pb 3.12
6 Se 0.2453 0.0000 0.7727 [2 per cell]  1 Dy 2.90, 3 In 2.99-3.24, 2 Pb 3.11

---

(6)
Entry from the Alexandria database: a relaxed La2Pm3Zn3 crystal (PBE).

Cell lengths 3.7471, 5.2755, 22.4428 Å; angles 90.00, 90.00, 90.00 degrees
With the nearest neighbours (Å) after each atom.
Space group Immm (No. 71)
One atom of each set of equivalent atoms:
1 La 0.0000 0.0000 0.2270 [4 per cell]  2 Zn 3.20, 4 La 3.40
2 Pm 0.0000 0.0000 0.0000 [2 per cell]  8 Zn 3.12-3.24
3 Pm 0.0000 0.5000 0.1138 [4 per cell]  6 Zn 3.17-3.24
4 Zn 0.0000 0.0000 0.5000 [2 per cell]  8 Pm 3.17-3.24
5 Zn 0.0000 0.5000 0.3888 [4 per cell]  6 Pm 3.12-3.24, 2 La 3.20

The calculation puts the formation energy at -0.209 eV/atom.

---

(7)
Entry from the Alexandria database: a relaxed ThTl3Sb3Se8 crystal (PBE).

Cell lengths 8.4324, 8.4324, 23.0072 Å; angles 90.00, 90.00, 120.00 degrees
With the nearest neighbours (Å) after each atom.
Space group R-3m (No. 166, hexagonal axes)
One atom of each set of equivalent atoms:
1 Th 0.0000 0.0000 0.0000 [3 per cell]  6 Se 2.94
2 Tl 0.0000 0.5000 0.5000 [9 per cell]  6 Se 3.29-3.31
3 Sb 0.0000 0.5000 0.0000 [9 per cell]  6 Se 2.91-2.92
4 Se 0.0000 0.0000 0.2629 [6 per cell]  3 Sb 2.92
5 Se 0.0033 0.5016 0.2634 [18 per cell]  2 Sb 2.91, 1 Th 2.94

---

(8)
Entry from the Alexandria database: a relaxed Cd2AsP crystal (PBE).

Cell lengths 2.8092, 4.7528, 7.1514 Å; angles 90.00, 100.28, 90.00 degrees
With the nearest neighbours (Å) after each atom.
Space group Pm (No. 6)
One atom of each set of equivalent atoms:
1 Cd 0.0000 0.0000 0.0000 [1 per cell]  6 Cd 2.81-3.05, 2 As 2.92-3.00
2 Cd 0.4150 0.5000 0.8151 [1 per cell]  2 P 2.79-2.82, 6 Cd 2.81-3.05
3 As 0.6971 0.0000 0.3700 [1 per cell]  2 P 2.48
4 P 0.7491 0.5000 0.4706 [1 per cell]  2 As 2.48

The calculation puts the formation energy at 0.204 eV/atom.

---

Number 1: energy -62.47 eV/cell. Number 2: energy -121.52 eV/cell. Number 3: energy -86.24 eV/cell. Number 4: energy -57.82 eV/cell. Number 5: energy -34.60 eV/cell. Number 6: energy -59.20 eV/cell. Number 7: energy -192.72 eV/cell. Number 8: energy -11.07 eV/cell.